i) Here is crystalline TlCuOsS3 at its relaxed geometry from the Open Quantum Materials Database. Energies are from PBE.

Output
As for the space group: Cmcm. For the volume, the calculation gives 19.566 A^3/atom. Its mass density is 7.84 Mg/m³.

a b c (Å): 7.1996 7.1996 9.2349
angles (deg): 90.00 90.00 29.37
With the nearest neighbours (Å) after each atom.
Positions (direct):
S: 0.3886 0.3886 0.0381  1 Cu 2.23, 2 Os 2.42
Os: 0.0000 0.0000 0.5000  6 S 2.42-2.49
S: 0.0669 0.0669 0.2500  2 Cu 2.31, 2 Os 2.49
Os: 0.0000 0.0000 0.0000  6 S 2.42-2.49
S: 0.6114 0.6114 0.5381  1 Cu 2.23, 2 Os 2.42
Cu: 0.4657 0.4657 0.2500  4 S 2.23-2.31
S: 0.9331 0.9331 0.7500  2 Cu 2.31, 2 Os 2.49
Tl: 0.7489 0.7489 0.2500  8 S 3.12-3.31
S: 0.3886 0.3886 0.4619  1 Cu 2.23, 2 Os 2.42
Tl: 0.2511 0.2511 0.7500  8 S 3.12-3.31
Cu: 0.5343 0.5343 0.7500  4 S 2.23-2.31
S: 0.6114 0.6114 0.9619  1 Cu 2.23, 2 Os 2.42

=====

ii) Here is crystalline TlCuOsS3 at its relaxed geometry from the Open Quantum Materials Database. Energies are from PBE.

Output
As for the space group: P2_1/m. For the volume, the calculation gives 20.168 A^3/atom. Its mass density is 7.61 Mg/m³.

a b c (Å): 7.6194 3.6561 9.4374
angles (deg): 90.00 112.99 90.00
With the nearest neighbours (Å) after each atom.
Positions (direct):
S: 0.7556 0.2500 0.9296  3 Cu 2.35, 1 Os 2.40
Os: 0.6900 0.2500 0.6596  6 S 2.39-2.41
Tl: 0.2761 0.2500 0.7870  7 S 3.16-3.36
S: 0.1115 0.2500 0.3552  1 Cu 2.24, 2 Os 2.41
S: 0.2444 0.7500 0.0704  3 Cu 2.35, 1 Os 2.40
Cu: 0.0738 0.2500 0.1078  4 S 2.24-2.35
S: 0.5319 0.2500 0.3855  3 Os 2.39-2.41
S: 0.4681 0.7500 0.6145  3 Os 2.39-2.41
Tl: 0.7239 0.7500 0.2130  7 S 3.16-3.36
Os: 0.3100 0.7500 0.3404  6 S 2.39-2.41
Cu: 0.9262 0.7500 0.8922  4 S 2.24-2.35
S: 0.8885 0.7500 0.6448  1 Cu 2.24, 2 Os 2.41

=====

Stability ranking, top entry: ii); the second entry is 83 meV per atom less favorable.